1.
A plane-wave DFT calculation with PBE was carried out for Ti3MnCo4 after structural relaxation.

## Properties
**M_tot**: 6.50 μB per formula unit
**Energy of formation from the pure elements**: -0.3393 eV per atom
**SG**: R-3m

```
8
Lattice="-1.792 3.430 -1.592 -3.270 -0.356 -2.586 -5.914 1.282 3.917" Properties=species:S:1:pos:R:3 pbc="T T T"
Ti -5.488 2.178 -0.131
Ti -8.280 3.269 -0.135
Ti -2.696 1.086 -0.126
Co -6.662 3.171 -2.169
Co -7.052 2.273 1.835
Co -3.924 2.082 -2.096
Co -4.314 1.184 1.907
Mn 0.000 0.000 0.000
```


2.
A plane-wave DFT calculation with PBE was carried out for Tb2ErSi2Rh5 after structural relaxation.

## Properties
**M_tot**: 0.00 μB per formula unit
**SG**: P4/mbm
**Formation energy from raw total energies**: -97.0 kJ/mol of atoms

```
20
Lattice="-1.714 1.997 2.356 -8.693 -3.823 -3.086 0.805 -7.295 6.770" Properties=species:S:1:pos:R:3 pbc="T T T"
Rh -0.455 -2.649 4.563
Rh -5.231 -6.444 4.303
Rh -8.763 -4.173 -0.193
Rh -2.726 -0.359 0.968
Rh -0.839 -4.949 6.233
Rh -6.876 -8.763 5.072
Rh -6.783 -4.897 1.863
Rh -2.820 -4.225 4.177
Rh -5.204 -0.913 -0.365
Rh -4.371 -2.677 1.737
Tb -6.638 -8.075 2.014
Tb -1.250 -3.044 1.671
Tb -5.719 -3.846 -0.902
Tb -2.169 -7.273 4.587
Si -0.566 -5.013 3.838
Si -7.322 -6.106 -0.153
Si -3.180 -2.338 -0.333
Si -4.708 -8.780 4.017
Er 0.000 0.000 0.000
Er -3.944 -5.559 1.842
```


| no. | final energy (eV/atom) |
| --- | --- |
| 1 | -7.9990 |
| 2 | -7.1484 |